(1)
This record from Alexandria via LeMat-Bulk describes crystalline LaNiSb2 at its relaxed geometry. The functional is PBE-GGA.

## Properties
space-group type	P4/nmm, No. 129
size of the total moment	0.0	μB per cell
E_form (uncorrected)	-0.78	eV per atom

Cell: 4.448 4.448 9.990 Å, 90.00 90.00 90.00°
Atoms (fractional coordinates):
Ni 0.250 0.750 0.000
Sb 0.750 0.250 0.500
La 0.750 0.750 0.241
Sb 0.750 0.750 0.871
La 0.250 0.250 0.759
Sb 0.250 0.750 0.500
Ni 0.750 0.250 0.000
Sb 0.250 0.250 0.129


(2)
This record from Alexandria via LeMat-Bulk describes crystalline La2NiSb at its relaxed geometry. The functional is PBE-GGA.

## Properties
space-group type	F-43m, No. 216
size of the total moment	0.0	μB per cell
E_form (uncorrected)	-0.10	eV per atom

Cell: 5.206 5.206 5.206 Å, 60.00 60.00 60.00°
Atoms (fractional coordinates):
Ni 0.500 0.500 0.500
La 0.250 0.250 0.250
Sb 0.750 0.750 0.750
La 0.000 0.000 0.000


(3)
This record from Alexandria via LeMat-Bulk describes crystalline La2NiSb at its relaxed geometry. The functional is PBE-GGA.

## Properties
space-group type	P4/mmm, No. 123
size of the total moment	0.0	μB per cell
E_form (uncorrected)	-0.54	eV per atom

Cell: 5.223 5.223 3.987 Å, 90.05 90.05 90.04°
Atoms (fractional coordinates):
Sb 0.000 0.500 0.500
La 0.000 0.000 0.000
La 0.500 0.500 0.000
Ni 0.500 0.000 0.500


(4)
This record from Alexandria via LeMat-Bulk describes crystalline La2NiSb at its relaxed geometry. The functional is PBE-GGA.

## Properties
space-group type	Pm, No. 6
size of the total moment	0.0	μB per cell
E_form (uncorrected)	-0.69	eV per atom

Cell: 4.373 4.376 6.199 Å, 69.32 90.00 90.00°
Atoms (fractional coordinates):
Sb 0.500 0.557 0.762
La 0.500 0.265 0.347
La 0.000 0.974 0.928
Ni 0.000 0.705 0.462


(5)
This record from Alexandria via LeMat-Bulk describes crystalline La2Ni2Sb at its relaxed geometry. The functional is PBE-GGA.

## Properties
energy above the lowest structure with this stoichiometry	125	meV per atom
space-group type	I4/mmm, No. 139
size of the total moment	0.0	μB per cell
E_form (uncorrected)	-0.51	eV per atom

Cell: 5.556 5.556 5.508 Å, 59.71 59.71 90.00°
Atoms (fractional coordinates):
Sb 0.000 0.000 0.000
Ni 0.350 0.350 0.299
La 0.750 0.250 0.500
Ni 0.650 0.650 0.701
La 0.250 0.750 0.500


(6)
This record from Alexandria via LeMat-Bulk describes crystalline LaNi2Sb at its relaxed geometry. The functional is PBE-GGA.

## Properties
space-group type	I-42d, No. 122
size of the total moment	0.0	μB per cell
E_form (uncorrected)	-0.30	eV per atom

Cell: 4.737 4.737 9.068 Å, 74.86 74.86 90.00°
Atoms (fractional coordinates):
La 0.750 0.250 0.500
Ni 0.875 0.674 0.750
Sb 0.500 0.500 0.000
Ni 0.375 0.576 0.750
Sb 0.250 0.750 0.500
Ni 0.326 0.625 0.250
La 0.000 0.000 0.000
Ni 0.424 0.125 0.250


So what do the calculations give for energy? Going down the list: -5.51; -5.04; -5.48; -5.63; -5.62; -5.46 eV per atom.